1.
VASP calculation (PBE) on an optimized crystal structure of Li2Sc2Tl2AgPd.

Cell and atoms, written as POSCAR:
```
Li2Sc2Tl2AgPd
1.0
-4.542 1.227 -0.025
-0.569 -2.194 -4.123
-1.548 -5.665 3.228
Ag Li Pd Sc Tl
1 2 1 2 2
direct
0.000 0.000 0.000
0.500 0.500 0.000
0.000 0.000 0.500
0.500 0.500 0.500
0.000 0.500 0.262
0.500 0.000 0.738
0.500 0.000 0.253
0.000 0.500 0.747
```

Calculated values
* theoretical density: 8.1 g/cm³
* E_tot: -32.19 eV for the cell shown
* M_tot: 0.0 Bohr magnetons per cell

2.
VASP calculation (PBE) on an optimized crystal structure of ZnSb.

Cell and atoms, written as POSCAR:
```
ZnSb
1.0
16.281 0.000 0.000
0.000 6.705 0.000
0.000 0.000 5.073
Sb Zn
12 12
direct
0.625 0.041 0.000
0.031 0.312 0.000
0.531 0.438 0.000
0.125 0.709 0.000
0.417 0.816 0.000
0.917 0.934 0.000
0.819 0.041 0.500
0.414 0.312 0.500
0.914 0.438 0.500
0.319 0.709 0.500
0.028 0.816 0.500
0.528 0.934 0.500
0.186 0.113 0.000
0.345 0.178 0.000
0.772 0.245 0.000
0.272 0.505 0.000
0.845 0.572 0.000
0.686 0.637 0.000
0.258 0.113 0.500
0.099 0.178 0.500
0.673 0.245 0.500
0.173 0.505 0.500
0.599 0.572 0.500
0.758 0.637 0.500
```

Calculated values
* theoretical density: 6.7 g/cm³
* E_tot: -61.84 eV for the cell shown

3.
VASP calculation (PBE) on an optimized crystal structure of CuAg3.

Cell and atoms, written as POSCAR:
```
CuAg3
1.0
4.504 -2.019 0.000
4.504 2.019 0.000
-3.638 0.000 7.234
Ag Cu
6 2
direct
0.500 0.500 0.000
0.250 0.250 0.132
0.008 0.008 0.263
0.500 0.500 0.500
0.992 0.992 0.737
0.750 0.750 0.868
0.749 0.749 0.381
0.251 0.251 0.619
```

Calculated values
* energy of formation from the pure elements: 0.0686 eV per atom
* theoretical density: 9.8 g/cm³

4.
VASP calculation (PBE) on an optimized crystal structure of KErO3.

Cell and atoms, written as POSCAR:
```
KErO3
1.0
-3.053 -1.086 5.450
-4.978 3.580 1.612
-5.754 -2.382 -0.010
Er K O
2 2 6
direct
0.850 0.850 0.451
0.150 0.150 0.549
0.621 0.621 0.137
0.379 0.379 0.863
0.995 0.547 0.289
0.169 0.995 0.289
0.547 0.169 0.289
0.453 0.831 0.711
0.831 0.005 0.711
0.005 0.453 0.711
```

Calculated values
* theoretical density: 4.8 g/cm³
* E_tot: -59.85 eV for the cell shown
* M_tot: 4.0 Bohr magnetons per cell

5.
VASP calculation (PBE) on an optimized crystal structure of KCuGeS3.

Cell and atoms, written as POSCAR:
```
KCuGeS3
1.0
3.899 5.405 3.097
-6.372 -3.186 -1.804
0.046 -4.963 8.601
Cu Ge K S
2 2 2 6
direct
0.056 0.944 0.250
0.944 0.056 0.750
0.500 0.500 0.000
0.500 0.500 0.500
0.764 0.236 0.250
0.236 0.764 0.750
0.119 0.881 0.041
0.453 0.547 0.250
0.119 0.881 0.459
0.881 0.119 0.541
0.547 0.453 0.750
0.881 0.119 0.959
```

Calculated values
* theoretical density: 3.6 g/cm³
* E_tot: -48.99 eV for the cell shown

6.
VASP calculation (PBE) on an optimized crystal structure of Cu4Ag.

Cell and atoms, written as POSCAR:
```
Cu4Ag
1.0
2.285 -6.594 0.000
2.285 6.594 0.000
-1.528 0.000 4.326
Ag Cu
2 8
direct
0.150 0.850 0.250
0.850 0.150 0.750
0.950 0.050 0.250
0.750 0.250 0.250
0.545 0.455 0.250
0.355 0.645 0.250
0.645 0.355 0.750
0.455 0.545 0.750
0.250 0.750 0.750
0.050 0.950 0.750
```

Calculated values
* energy of formation from the pure elements: 0.0728 eV per atom
* theoretical density: 9.2 g/cm³

7.
VASP calculation (PBE) on an optimized crystal structure of Zr3Zn3IrPdAu.

Cell and atoms, written as POSCAR:
```
Zr3Zn3IrPdAu
1.0
-4.363 -5.892 -0.024
4.705 1.100 -5.514
2.414 -1.794 1.702
Au Ir Pd Zn Zr
1 1 1 3 3
direct
0.000 0.000 0.000
0.667 0.333 0.500
0.333 0.667 0.500
0.272 0.275 0.500
0.003 0.728 0.500
0.725 0.997 0.500
0.409 0.012 0.000
0.988 0.397 0.000
0.603 0.591 0.000
```

Calculated values
* energy of formation from the pure elements: -0.6026 eV per atom
* theoretical density: 10.0 g/cm³
* M_tot: 0.0 Bohr magnetons per cell

8.
VASP calculation (PBE) on an optimized crystal structure of BaP2IrOs.

Cell and atoms, written as POSCAR:
```
BaP2IrOs
1.0
6.407 1.617 1.918
2.306 4.329 4.826
-4.397 -5.089 -1.454
Ba Ir Os P
1 1 1 2
direct
0.000 0.000 0.000
0.750 0.250 0.500
0.250 0.750 0.500
0.347 0.347 0.000
0.653 0.653 0.000
```

Calculated values
* theoretical density: 9.5 g/cm³
* E_tot: -36.77 eV for the cell shown
* M_tot: 0.0 Bohr magnetons per cell

Copy entry 1 word for word.
VASP calculation (PBE) on an optimized crystal structure of Li2Sc2Tl2AgPd.

Cell and atoms, written as POSCAR:
```
Li2Sc2Tl2AgPd
1.0
-4.542 1.227 -0.025
-0.569 -2.194 -4.123
-1.548 -5.665 3.228
Ag Li Pd Sc Tl
1 2 1 2 2
direct
0.000 0.000 0.000
0.500 0.500 0.000
0.000 0.000 0.500
0.500 0.500 0.500
0.000 0.500 0.262
0.500 0.000 0.738
0.500 0.000 0.253
0.000 0.500 0.747
```

Calculated values
* theoretical density: 8.1 g/cm³
* E_tot: -32.19 eV for the cell shown
* M_tot: 0.0 Bohr magnetons per cell

> Which value of theoretical density does entry 4 give?

4.8 g/cm³

Please write out number 8 again, unchanged.
VASP calculation (PBE) on an optimized crystal structure of BaP2IrOs.

Cell and atoms, written as POSCAR:
```
BaP2IrOs
1.0
6.407 1.617 1.918
2.306 4.329 4.826
-4.397 -5.089 -1.454
Ba Ir Os P
1 1 1 2
direct
0.000 0.000 0.000
0.750 0.250 0.500
0.250 0.750 0.500
0.347 0.347 0.000
0.653 0.653 0.000
```

Calculated values
* theoretical density: 9.5 g/cm³
* E_tot: -36.77 eV for the cell shown
* M_tot: 0.0 Bohr magnetons per cell